[1]
Density functional theory data (PBE) for crystalline LaAlGa4Pd2 at its relaxed geometry.

Structure (POSCAR):
```
LaAlGa4Pd2
1.0
2.198 1.269 9.048
-2.198 1.269 9.048
0.000 -2.538 9.048
La Al Ga Pd
1 1 4 2
Cartesian
0.000 0.000 0.000
0.000 0.000 13.573
0.000 0.000 3.254
0.000 0.000 10.868
0.000 0.000 16.277
0.000 0.000 23.891
0.000 0.000 6.053
0.000 0.000 21.092
```

Calculated values
Calculated total energy, eV per atom: -4.396
DOS(E_F), states/eV/cell: 2.75
E_form, eV per atom: -0.501
Symmetry: R-3m, No. 166


[2]
Density functional theory data (PBE) for crystalline TcP3I at its relaxed geometry.

Structure (POSCAR):
```
TcP3I
1.0
4.683 0.000 0.000
0.000 4.683 0.000
0.000 0.000 4.683
Tc P I
1 3 1
Cartesian
0.000 0.000 0.000
0.000 0.000 2.341
0.000 2.341 0.000
2.341 0.000 0.000
2.341 2.341 2.341
```

Calculated values
Calculated total energy, eV per atom: -5.147
Formation energy from raw total energies, eV per atom: 0.483
Relative energy among the computed polymorphs, kcal/mol of atoms: 0.00
DOS(E_F), states/eV/cell: 3.87
Symmetry: Pm-3m, No. 221


[3]
Density functional theory data (PBE) for crystalline Rb2TiAl2O6 at its relaxed geometry.

Structure (POSCAR):
```
Rb2TiAl2O6
1.0
2.867 1.655 6.056
-2.867 1.655 6.056
0.000 -3.310 6.056
Rb Ti Al O
2 1 2 6
Cartesian
0.000 0.000 3.697
0.000 0.000 14.471
0.000 0.000 0.000
0.000 0.000 7.150
0.000 0.000 11.018
0.000 -1.706 7.242
-1.477 0.853 7.242
-1.477 -0.853 10.925
1.477 0.853 7.242
1.477 -0.853 10.925
0.000 1.706 10.925
```

Calculated values
Calculated total energy, eV per atom: -6.680
Formation energy from raw total energies, eV per atom: -2.402
DOS(E_F), states/eV/cell: 0.00
Symmetry: R-3m, No. 166


[4]
Density functional theory data (PBE) for crystalline Pr3H12Pt5 at its relaxed geometry.

Structure (POSCAR):
```
Pr3H12Pt5
1.0
-6.100 6.100 6.100
6.100 -6.100 6.100
6.100 6.100 -6.100
Pr H Pt
12 48 20
Cartesian
3.050 1.525 0.000
6.100 3.050 -1.525
1.525 0.000 3.050
7.625 0.000 3.050
0.000 3.050 1.525
3.050 -1.525 6.100
3.050 7.625 0.000
6.100 3.050 4.575
-1.525 6.100 3.050
4.575 6.100 3.050
0.000 3.050 7.625
3.050 4.575 6.100
1.670 -0.501 0.503
7.480 3.553 -3.551
-1.380 2.547 9.651
4.430 6.601 5.597
7.770 0.501 0.503
7.480 -2.547 3.551
0.503 1.670 -0.501
9.651 -1.380 2.547
5.598 -0.503 1.670
8.647 2.548 -1.380
-0.501 0.503 1.670
3.553 3.551 -1.380
5.597 1.670 0.501
3.551 -1.380 3.553
5.598 5.597 -1.670
3.551 1.380 2.547
3.553 -3.551 7.480
5.597 -1.670 5.598
3.551 7.480 -2.547
2.547 3.551 1.380
6.603 4.430 0.501
5.598 0.503 4.430
1.670 5.598 -0.503
7.480 2.547 2.548
1.380 2.547 3.551
4.430 5.598 0.503
1.670 0.501 5.597
4.720 3.553 2.548
-1.380 3.553 3.551
4.430 0.501 6.603
0.501 5.597 1.670
-0.503 1.670 5.598
3.553 2.548 4.720
2.548 -1.380 8.647
0.503 7.770 0.501
2.547 9.651 -1.380
2.548 4.720 3.553
0.501 0.503 7.770
2.548 7.480 2.547
0.503 4.430 5.598
2.547 2.548 7.480
6.601 5.597 4.430
-3.551 7.480 3.553
5.597 4.430 6.601
-2.547 3.551 7.480
0.501 6.603 4.430
-1.380 8.647 2.548
-1.670 5.598 5.597
0.000 0.000 0.000
3.050 3.050 -3.050
3.050 -3.050 3.050
6.100 0.000 0.000
9.150 1.525 0.000
6.100 -3.050 4.575
4.575 6.100 -3.050
4.575 0.000 3.050
3.050 4.575 0.000
6.100 3.050 1.525
-3.050 3.050 3.050
0.000 6.100 0.000
0.000 0.000 6.100
3.050 3.050 3.050
0.000 3.050 4.575
3.050 1.525 6.100
1.525 6.100 3.050
1.525 0.000 9.150
0.000 9.150 1.525
-3.050 4.575 6.100
```

Calculated values
Calculated total energy, eV per atom: -4.558
DOS(E_F), states/eV/cell: 25.99
Symmetry: Ia-3d, No. 230


[5]
Density functional theory data (PBE) for crystalline NdTmGa2Ni2 at its relaxed geometry.

Structure (POSCAR):
```
NdTmGa2Ni2
1.0
4.297 0.000 0.000
-2.149 3.721 0.000
0.000 0.000 7.185
Nd Tm Ga Ni
1 1 2 2
Cartesian
0.000 0.000 0.000
0.000 0.000 3.592
0.000 2.481 1.970
2.149 1.240 5.215
0.000 2.481 5.158
2.149 1.240 2.027
```

Calculated values
Calculated total energy, eV per atom: -5.062
DOS(E_F), states/eV/cell: 5.07
E_form, eV per atom: -0.587
Symmetry: P-3m1, No. 164


[6]
Density functional theory data (PBE) for crystalline Dy4CoRu2 at its relaxed geometry.

Structure (POSCAR):
```
Dy4CoRu2
1.0
2.402 1.387 7.695
-2.402 1.387 7.695
0.000 -2.773 7.695
Dy Co Ru
4 1 2
Cartesian
0.000 0.000 2.871
0.000 0.000 8.657
0.000 0.000 14.428
0.000 0.000 20.213
0.000 0.000 11.542
0.000 0.000 5.727
0.000 0.000 17.357
```

Calculated values
Calculated total energy, eV per atom: -6.529
DOS(E_F), states/eV/cell: 7.51
E_form, eV per atom: -0.233
Symmetry: R-3m, No. 166


[7]
Density functional theory data (PBE) for crystalline Pm5Sm2Ho12 at its relaxed geometry.

Structure (POSCAR):
```
Pm5Sm2Ho12
1.0
7.967 0.000 0.000
-3.161 8.133 0.000
-0.798 -0.323 9.409
Pm Sm Ho
5 2 12
Cartesian
0.000 0.000 0.000
0.803 0.306 3.463
-0.001 3.116 8.917
4.009 4.694 0.492
3.205 7.504 5.946
1.605 3.751 2.981
2.403 4.059 6.429
-2.358 5.314 7.412
-0.804 2.811 5.450
-0.765 5.947 1.492
1.615 0.618 6.923
0.008 6.251 4.958
3.208 1.246 0.986
0.800 6.564 8.423
4.000 1.559 4.451
2.393 7.192 2.486
4.773 1.864 7.917
4.812 5.000 3.959
6.366 2.496 1.997
```

Calculated values
Calculated total energy, eV per atom: -4.619
Relative energy among the computed polymorphs, kcal/mol of atoms: 0.00
DOS(E_F), states/eV/cell: 26.16
E_form, eV per atom: 0.019
Symmetry: P-1, No. 2


[8]
Density functional theory data (PBE) for crystalline NbTlCo2Tc at its relaxed geometry.

Structure (POSCAR):
```
NbTlCo2Tc
1.0
4.527 0.000 0.000
0.000 4.527 0.000
0.000 0.000 4.789
Nb Tl Co Tc
1 1 2 1
Cartesian
0.000 0.000 0.000
2.264 2.264 2.394
0.000 2.264 0.000
2.264 0.000 0.000
0.000 0.000 2.394
```

Calculated values
Calculated total energy, eV per atom: -6.019
DOS(E_F), states/eV/cell: 4.13
E_form, eV per atom: 1.384
Symmetry: P4/mmm, No. 123


[9]
Density functional theory data (PBE) for crystalline La4Pr4Tm3 at its relaxed geometry.

Structure (POSCAR):
```
La4Pr4Tm3
1.0
3.598 0.000 0.000
-0.001 5.831 0.000
-1.795 -2.758 18.256
La Pr Tm
4 4 3
Cartesian
-0.001 0.130 1.743
-0.001 2.992 6.519
1.804 0.081 11.738
1.803 2.942 16.514
-0.002 3.025 3.253
0.002 0.080 8.479
1.800 2.993 9.777
1.804 0.048 15.004
0.004 2.985 13.300
1.799 2.915 0.000
1.798 0.087 4.957
```

Calculated values
Calculated total energy, eV per atom: -4.688
Relative energy among the computed polymorphs, kcal/mol of atoms: 0.26
DOS(E_F), states/eV/cell: 19.38
E_form, eV per atom: 0.061
Symmetry: P-1, No. 2


[10]
Density functional theory data (PBE) for crystalline LaCeThSn at its relaxed geometry.

Structure (POSCAR):
```
LaCeThSn
1.0
0.000 3.921 3.921
3.921 0.000 3.921
3.921 3.921 0.000
La Ce Th Sn
1 1 1 1
Cartesian
0.000 0.000 0.000
5.881 5.881 5.881
3.921 3.921 3.921
1.960 1.960 1.960
```

Calculated values
Calculated total energy, eV per atom: -5.718
DOS(E_F), states/eV/cell: 8.79
E_form, eV per atom: -0.147
Symmetry: F-43m, No. 216


[11]
Density functional theory data (PBE) for crystalline TaCoPt2 at its relaxed geometry.

Structure (POSCAR):
```
TaCoPt2
1.0
3.858 0.000 0.000
0.000 3.858 0.000
0.000 0.000 3.953
Ta Co Pt
1 1 2
Cartesian
0.000 0.000 0.000
1.929 1.929 0.000
0.000 1.929 1.977
1.929 0.000 1.977
```

Calculated values
Calculated total energy, eV per atom: -8.302
Relative energy among the computed polymorphs, kcal/mol of atoms: 1.24
DOS(E_F), states/eV/cell: 0.60
E_form, eV per atom: -0.542
Symmetry: P4/mmm, No. 123


[12]
Density functional theory data (PBE) for crystalline PmAl4Pd2 at its relaxed geometry.

Structure (POSCAR):
```
PmAl4Pd2
1.0
7.844 0.000 0.000
0.000 7.844 0.000
0.000 0.000 4.127
Pm Al Pd
2 8 4
Cartesian
0.000 0.000 0.000
3.922 3.922 2.063
0.655 2.649 2.063
1.273 4.577 0.000
2.649 0.655 2.063
3.267 6.571 0.000
4.577 1.273 0.000
5.195 7.189 2.063
6.571 3.267 0.000
7.189 5.195 2.063
1.724 6.120 2.063
2.198 2.198 0.000
5.646 5.646 0.000
6.120 1.724 2.063
```

Calculated values
Calculated total energy, eV per atom: -4.996
Relative energy among the computed polymorphs, kcal/mol of atoms: 1.46
DOS(E_F), states/eV/cell: 5.28
E_form, eV per atom: -0.695
Symmetry: P4_2/mnm, No. 136